(1)
Material: KMnCu2Br6
Method: DFT, PBE
State: optimized geometry

a b c (Å): 14.312 12.592 8.071
angles (deg): 90.00 114.09 90.00
Space group C2/c (No. 15)
Unique sites:
K (0.000, 0.160, 0.250) x4
Mn (0.000, 0.191, 0.750) x4
Cu (0.192, 0.450, 0.190) x8
Br (0.116, 0.070, 0.674) x8
Br (0.117, 0.275, 0.031) x8
Br (0.152, 0.425, 0.448) x8

Computed properties:
electronic total energy = -3.56 eV per atom
DOS(E_F) = 21.1 states/eV per cell
V = 332 Å³/f.u.

(2)
Material: SrSbTe2W
Method: DFT, PBE
State: optimized geometry

a b c (Å): 5.986 5.986 5.954
angles (deg): 90.00 90.00 90.00
Space group P4/mmm (No. 123)
Unique sites:
Sr (0.000, 0.000, 0.000) x1
Sb (0.000, 0.000, 0.500) x1
Te (0.000, 0.500, 0.000) x2
W (0.500, 0.500, 0.500) x1

Computed properties:
electronic total energy = -3.41 eV per atom
energy above the most stable polymorph in this dataset = 1580 meV per atom
DOS(E_F) = 6.5 states/eV per cell
V = 213 Å³/f.u.

(3)
Material: Tb4TcGe
Method: DFT, PBE
State: optimized geometry

a b c (Å): 6.300 7.908 7.925
angles (deg): 113.88 106.41 102.95
Space group P-1 (No. 2)
Unique sites:
Tb (0.024, 0.226, 0.367) x2
Tb (0.210, 0.295, 0.850) x2
Tb (0.345, 0.644, 0.368) x2
Tb (0.362, 0.948, 0.150) x2
Tc (0.251, 0.001, 0.503) x2
Ge (0.380, 0.629, 0.761) x2

Computed properties:
electronic total energy = -5.94 eV per atom
DOS(E_F) = 12.0 states/eV per cell
ΔH_f (0 K) = -2.13 eV per formula unit
V = 160 Å³/f.u.

(4)
Material: Ba2EuCd
Method: DFT, PBE
State: optimized geometry

a b c (Å): 8.934 8.934 8.934
angles (deg): 90.00 90.00 90.00
Space group Fm-3m (No. 225)
Unique sites:
Ba (0.250, 0.250, 0.250) x8
Eu (0.000, 0.000, 0.000) x4
Cd (0.000, 0.000, 0.500) x4

Computed properties:
electronic total energy = -3.77 eV per atom
energy above the most stable polymorph in this dataset = 116 meV per atom
DOS(E_F) = 27.1 states/eV per cell
ΔH_f (0 K) = -0.06 eV per formula unit
V = 178 Å³/f.u.

Number 1: magnetization 3.964 μB per formula unit. Number 2: magnetization 3.484 μB per formula unit. Number 3: magnetization 0.000 μB per formula unit. Number 4: magnetization 7.932 μB per formula unit.